(1)
Entry from Alexandria via LeMat-Bulk: ErPdRhAu after structural relaxation (PBE).

Results
- Theoretical density: 13289 kg/m³
- Fermi-level density of states: 4.27 states/eV/cell
- Raw total energy: -5.744 eV/atom
- DFT formation energy: -0.65 eV per atom

```
data_ErPdRhAu
_space_group_name_H-M_alt 'F -4 3 m'
_space_group_IT_number 216
_space_group_name_Hall 'F -4 2 3'
_cell_length_a 6.5938
_cell_length_b 6.5938
_cell_length_c 6.5938
_cell_angle_alpha 90.00
_cell_angle_beta 90.00
_cell_angle_gamma 90.00
loop_
_atom_site_label
_atom_site_type_symbol
_atom_site_fract_x
_atom_site_fract_y
_atom_site_fract_z
Er1 Er 0.0000 0.0000 0.0000
Pd1 Pd 0.2500 0.2500 0.7500
Rh1 Rh 0.2500 0.2500 0.2500
Au1 Au 0.0000 0.0000 0.5000
```

=====

(2)
Entry from Alexandria via LeMat-Bulk: Tb8Cd2Co after structural relaxation (PBE).

Results
- Theoretical density: 8486 kg/m³
- Fermi-level density of states: 21.17 states/eV/cell
- Raw total energy: -4.292 eV/atom
- DFT formation energy: -0.11 eV per atom

```
data_Tb8Cd2Co
_space_group_name_H-M_alt 'C 1 2/m 1'
_space_group_IT_number 12
_cell_length_a 17.4004
_cell_length_b 5.4295
_cell_length_c 6.8776
_cell_angle_alpha 90.00
_cell_angle_beta 110.50
_cell_angle_gamma 90.00
loop_
_space_group_symop_operation_xyz
'x,y,z'
'-x,-y,-z'
'-x,y,-z'
'x,-y,z'
'x+1/2,y+1/2,z'
'-x+1/2,-y+1/2,-z'
'-x+1/2,y+1/2,-z'
'x+1/2,-y+1/2,z'
loop_
_atom_site_label
_atom_site_type_symbol
_atom_site_fract_x
_atom_site_fract_y
_atom_site_fract_z
Tb1 Tb 0.0179 0.0000 0.2821
Tb2 Tb 0.0926 0.5000 0.9113
Tb3 Tb 0.1455 0.5000 0.4403
Tb4 Tb 0.1981 0.0000 0.7750
Cd1 Cd 0.1829 0.0000 0.2046
Co1 Co 0.0000 0.5000 0.5000
```

=====

(3)
Entry from Alexandria via LeMat-Bulk: NaCaY2N after structural relaxation (PBE).

Results
- Theoretical density: 3282 kg/m³
- Fermi-level density of states: 5.40 states/eV/cell
- Formation energy without anion corrections: -0.390 eV per atom
- Raw total energy: -5.304 eV/atom

```
data_NaCaY2N
_space_group_name_H-M_alt 'P 4/m m m'
_space_group_IT_number 123
_space_group_name_Hall '-P 4 2'
_cell_length_a 4.8184
_cell_length_b 4.8184
_cell_length_c 5.5545
_cell_angle_alpha 90.00
_cell_angle_beta 90.00
_cell_angle_gamma 90.00
loop_
_atom_site_label
_atom_site_type_symbol
_atom_site_fract_x
_atom_site_fract_y
_atom_site_fract_z
Na1 Na 0.0000 0.0000 0.0000
Ca1 Ca 0.5000 0.5000 0.0000
Y1 Y 0.0000 0.5000 0.5000
N1 N 0.5000 0.5000 0.5000
```

=====

(4)
Entry from Alexandria via LeMat-Bulk: CaZnGa after structural relaxation (PBE).

Results
- Theoretical density: 4161 kg/m³
- Fermi-level density of states: 3.50 states/eV/cell
- Raw total energy: -2.297 eV/atom
- DFT formation energy: -0.20 eV per atom

```
data_CaZnGa
_space_group_name_H-M_alt 'P 1 21/m 1'
_space_group_IT_number 11
_cell_length_a 5.5250
_cell_length_b 4.3511
_cell_length_c 5.9904
_cell_angle_alpha 90.00
_cell_angle_beta 103.83
_cell_angle_gamma 90.00
loop_
_space_group_symop_operation_xyz
'x,y,z'
'-x,-y,-z'
'-x,y+1/2,-z'
'x,-y+1/2,z'
loop_
_atom_site_label
_atom_site_type_symbol
_atom_site_fract_x
_atom_site_fract_y
_atom_site_fract_z
Ca1 Ca 0.2326 0.2500 0.4032
Zn1 Zn 0.0998 0.2500 0.8736
Ga1 Ga 0.3842 0.7500 0.0732
```

=====

(5)
Entry from Alexandria via LeMat-Bulk: ZnSiSb2 after structural relaxation (PBE).

Results
- Theoretical density: 6267 kg/m³
- Fermi-level density of states: 1.04 states/eV/cell
- Formation energy without anion corrections: 0.346 eV per atom
- Raw total energy: -3.390 eV/atom

```
data_ZnSiSb2
_space_group_name_H-M_alt 'P 4 m m'
_space_group_IT_number 99
_cell_length_a 3.0905
_cell_length_b 3.0905
_cell_length_c 9.3495
_cell_angle_alpha 90.00
_cell_angle_beta 90.00
_cell_angle_gamma 90.00
loop_
_space_group_symop_operation_xyz
'x,y,z'
'-y,x,z'
'-x,-y,z'
'y,-x,z'
'-x,y,z'
'y,x,z'
'x,-y,z'
'-y,-x,z'
loop_
_atom_site_label
_atom_site_type_symbol
_atom_site_fract_x
_atom_site_fract_y
_atom_site_fract_z
Zn1 Zn 0.0000 0.0000 0.0000
Si1 Si 0.5000 0.5000 0.8252
Sb1 Sb 0.0000 0.0000 0.5853
Sb2 Sb 0.5000 0.5000 0.2367
```

=====

(6)
Entry from Alexandria via LeMat-Bulk: AcTb4Pr2Dy after structural relaxation (PBE).

Results
- Theoretical density: 7690 kg/m³
- Fermi-level density of states: 74.77 states/eV/cell
- Raw total energy: -4.187 eV/atom
- DFT formation energy: 0.41 eV per atom

```
data_AcTb4Pr2Dy
_space_group_name_H-M_alt 'I m m a'
_space_group_IT_number 74
_space_group_name_Hall '-I 2b 2'
_cell_length_a 6.9567
_cell_length_b 12.0258
_cell_length_c 13.4937
_cell_angle_alpha 90.00
_cell_angle_beta 90.00
_cell_angle_gamma 90.00
loop_
_atom_site_label
_atom_site_type_symbol
_atom_site_fract_x
_atom_site_fract_y
_atom_site_fract_z
Ac1 Ac 0.0000 0.0000 0.0000
Tb1 Tb 0.0000 0.0059 0.2578
Tb2 Tb 0.2373 0.2500 0.4939
Pr1 Pr 0.0000 0.0000 0.5000
Pr2 Pr 0.2500 0.2500 0.7500
Dy1 Dy 0.2500 0.2500 0.2500
```

=====

(7)
Entry from Alexandria via LeMat-Bulk: Ta2Ga2S7 after structural relaxation (PBE).

Results
- Theoretical density: 4754 kg/m³
- Fermi-level density of states: 1.46 states/eV/cell
- Formation energy without anion corrections: -0.581 eV per atom
- Raw total energy: -5.913 eV/atom

```
data_Ta2Ga2S7
_space_group_name_H-M_alt 'C 1 2/m 1'
_space_group_IT_number 12
_cell_length_a 7.7208
_cell_length_b 10.0017
_cell_length_c 6.7571
_cell_angle_alpha 90.00
_cell_angle_beta 103.66
_cell_angle_gamma 90.00
loop_
_space_group_symop_operation_xyz
'x,y,z'
'-x,-y,-z'
'-x,y,-z'
'x,-y,z'
'x+1/2,y+1/2,z'
'-x+1/2,-y+1/2,-z'
'-x+1/2,y+1/2,-z'
'x+1/2,-y+1/2,z'
loop_
_atom_site_label
_atom_site_type_symbol
_atom_site_fract_x
_atom_site_fract_y
_atom_site_fract_z
Ta1 Ta 0.0000 0.1530 0.0000
Ga1 Ga 0.2313 0.5000 0.3669
S1 S 0.0000 0.5000 0.5000
S2 S 0.0987 0.0000 0.2688
S3 S 0.2413 0.1918 0.8091
```

=====

(8)
Entry from Alexandria via LeMat-Bulk: LiGdYSn after structural relaxation (PBE).

Results
- Theoretical density: 6020 kg/m³
- Fermi-level density of states: 20.48 states/eV/cell
- Raw total energy: -7.052 eV/atom
- DFT formation energy: -0.44 eV per atom

```
data_LiGdYSn
_space_group_name_H-M_alt 'F -4 3 m'
_space_group_IT_number 216
_space_group_name_Hall 'F -4 2 3'
_cell_length_a 7.4302
_cell_length_b 7.4302
_cell_length_c 7.4302
_cell_angle_alpha 90.00
_cell_angle_beta 90.00
_cell_angle_gamma 90.00
loop_
_atom_site_label
_atom_site_type_symbol
_atom_site_fract_x
_atom_site_fract_y
_atom_site_fract_z
Li1 Li 0.0000 0.0000 0.0000
Gd1 Gd 0.2500 0.2500 0.7500
Y1 Y 0.2500 0.2500 0.2500
Sn1 Sn 0.0000 0.0000 0.5000
```

=====

(9)
Entry from Alexandria via LeMat-Bulk: LaSi3Ni3 after structural relaxation (PBE).

Results
- Theoretical density: 5672 kg/m³
- Fermi-level density of states: 27.39 states/eV/cell
- Formation energy without anion corrections: -0.342 eV per atom
- Raw total energy: -5.848 eV/atom

```
data_LaSi3Ni3
_space_group_name_H-M_alt 'R -3'
_space_group_IT_number 148
_space_group_name_Hall '-R 3'
_cell_length_a 6.2320
_cell_length_b 6.2320
_cell_length_c 20.8514
_cell_angle_alpha 90.00
_cell_angle_beta 90.00
_cell_angle_gamma 120.00
loop_
_atom_site_label
_atom_site_type_symbol
_atom_site_fract_x
_atom_site_fract_y
_atom_site_fract_z
La1 La 0.0000 0.0000 0.1625
Si1 Si 0.0155 0.4201 0.3765
Ni1 Ni 0.0087 0.2406 0.5987
```

=====

(10)
Entry from Alexandria via LeMat-Bulk: TaIrAu2Br after structural relaxation (PBE).

Results
- Theoretical density: 11012 kg/m³
- Fermi-level density of states: 7.97 states/eV/cell
- Formation energy without anion corrections: 1.532 eV per atom
- Raw total energy: -4.256 eV/atom

```
data_TaIrAu2Br
_space_group_name_H-M_alt 'P 4/m m m'
_space_group_IT_number 123
_space_group_name_Hall '-P 4 2'
_cell_length_a 5.1584
_cell_length_b 5.1584
_cell_length_c 4.7999
_cell_angle_alpha 90.00
_cell_angle_beta 90.00
_cell_angle_gamma 90.00
loop_
_atom_site_label
_atom_site_type_symbol
_atom_site_fract_x
_atom_site_fract_y
_atom_site_fract_z
Ta1 Ta 0.0000 0.0000 0.0000
Ir1 Ir 0.5000 0.5000 0.5000
Au1 Au 0.0000 0.5000 0.0000
Br1 Br 0.0000 0.0000 0.5000
```

=====

(11)
Entry from Alexandria via LeMat-Bulk: Pr7TmCd2 after structural relaxation (PBE).

Results
- Theoretical density: 5686 kg/m³
- Fermi-level density of states: 33.88 states/eV/cell
- Raw total energy: -3.613 eV/atom
- DFT formation energy: 0.36 eV per atom

```
data_Pr7TmCd2
_space_group_name_H-M_alt 'C m m m'
_space_group_IT_number 65
_space_group_name_Hall '-C 2 2'
_cell_length_a 9.1695
_cell_length_b 16.4270
_cell_length_c 5.3516
_cell_angle_alpha 90.00
_cell_angle_beta 90.00
_cell_angle_gamma 90.00
loop_
_atom_site_label
_atom_site_type_symbol
_atom_site_fract_x
_atom_site_fract_y
_atom_site_fract_z
Pr1 Pr 0.0000 0.0000 0.0000
Pr2 Pr 0.0000 0.2791 0.5000
Pr3 Pr 0.1833 0.3839 0.0000
Tm1 Tm 0.0000 0.5000 0.5000
Cd1 Cd 0.0000 0.1960 0.0000
```

=====

(12)
Entry from Alexandria via LeMat-Bulk: PmAgSO after structural relaxation (PBE).

Results
- Theoretical density: 6673 kg/m³
- Formation energy without anion corrections: -1.914 eV per atom
- Raw total energy: -6.085 eV/atom

```
data_PmAgSO
_space_group_name_H-M_alt 'R -3 m'
_space_group_IT_number 166
_space_group_name_Hall '-R 3 2"'
_cell_length_a 4.0442
_cell_length_b 4.0442
_cell_length_c 31.7197
_cell_angle_alpha 90.00
_cell_angle_beta 90.00
_cell_angle_gamma 120.00
loop_
_atom_site_label
_atom_site_type_symbol
_atom_site_fract_x
_atom_site_fract_y
_atom_site_fract_z
Pm1 Pm 0.0000 0.0000 0.1207
Ag1 Ag 0.0000 0.0000 0.3060
S1 S 0.0000 0.0000 0.3958
O1 O 0.0000 0.0000 0.1939
```

=====

What is the formula in the fifth record?
ZnSiSb2

=====

The highest raw total energy belongs to which entry?
CaZnGa